Entry 1:
Compound: Tb7Tl4Cd
Source: the Alexandria database
Functional: PBE
Structure: relaxed

Cell and atoms, written as extended XYZ:
```
12
Lattice="7.2154 -2.8666 0.0000 7.2154 2.8666 0.0000 -6.5410 0.0000 8.8919" Properties=species:S:1:pos:R:3 pbc="T T T"
Tb 0.0000 0.0000 0.0000
Tb -1.5227 0.0000 5.2782
Tb 3.3279 0.0000 1.0961
Tb 1.8404 0.0000 5.9565
Tb 6.0494 0.0000 2.9354
Tb 4.5620 0.0000 7.7957
Tb 9.4125 0.0000 3.6136
Tl -4.0988 0.0000 6.8817
Tl 0.7996 0.0000 2.9911
Tl 7.0903 0.0000 5.9007
Tl 11.9887 0.0000 2.0102
Cd 7.2154 0.0000 0.0000
```

Properties
SG: C2/m (12)
Formation enthalpy at 0 K: -0.063 eV per atom

Entry 2:
Compound: Tb8Tl2Cd
Source: the Alexandria database
Functional: PBE
Structure: relaxed

Cell and atoms, written as extended XYZ:
```
11
Lattice="8.1797 -2.6892 0.0000 8.1797 2.6892 0.0000 -4.4670 0.0000 7.3712" Properties=species:S:1:pos:R:3 pbc="T T T"
Tb 0.0970 0.0000 1.6151
Tb -0.8343 0.0000 5.0108
Tb 2.7549 0.0000 4.1073
Tb 6.4736 0.0000 0.3859
Tb 5.4188 0.0000 6.9854
Tb 9.1375 0.0000 3.2639
Tb 12.7267 0.0000 2.3604
Tb 11.7954 0.0000 5.7562
Tl 3.1595 0.0000 0.9189
Tl 8.7329 0.0000 6.4524
Cd 5.9462 0.0000 3.6856
```

Properties
SG: C2/m (12)
Relative energy among the computed polymorphs: 0 meV per atom
Formation enthalpy at 0 K: -0.181 eV per atom

Entry 3:
Compound: TbTlCd6
Source: the Alexandria database
Functional: PBE
Structure: relaxed

Cell and atoms, written as extended XYZ:
```
8
Lattice="4.8459 0.0000 0.0000 0.0000 3.8828 5.1344 0.0000 -3.8828 5.1344" Properties=species:S:1:pos:R:3 pbc="T T T"
Tb 0.0000 0.0000 0.0000
Tl 2.4230 0.0000 2.3433
Cd 0.0000 0.0000 4.4072
Cd 0.0000 -1.5272 7.3060
Cd 0.0000 1.5272 7.3060
Cd 2.4230 -1.6144 5.2305
Cd 2.4230 1.6144 5.2305
Cd 2.4230 0.0000 8.2317
```

Properties
SG: Amm2 (38)
Formation enthalpy at 0 K: -0.119 eV per atom

Entry 4:
Compound: Tb6TlCd2
Source: the Alexandria database
Functional: PBE
Structure: relaxed

Cell and atoms, written as extended XYZ:
```
18
Lattice="-5.0224 5.1160 5.1873 5.0224 -5.1160 5.1873 5.0224 5.1160 -5.1873" Properties=species:S:1:pos:R:3 pbc="T T T"
Tb 5.0224 3.3034 -2.8257
Tb 3.0027 2.5733 0.0000
Tb 7.0420 2.5733 0.0000
Tb 3.2228 0.0000 2.7550
Tb 6.8220 0.0000 2.7550
Tb 0.0000 1.8126 2.3617
Tb 5.0224 3.3034 2.8257
Tb -1.7996 5.1160 2.4324
Tb 1.7996 5.1160 2.4324
Tb -2.0197 2.5428 5.1873
Tb 2.0197 2.5428 5.1873
Tb 0.0000 1.8126 8.0130
Tl 5.0224 0.0000 0.0000
Tl 0.0000 0.0000 5.1873
Cd 1.4187 0.0000 0.0000
Cd 8.6260 0.0000 0.0000
Cd 0.0000 3.7239 0.0000
Cd 0.0000 6.5082 0.0000
```

Properties
SG: Immm (71)
Formation enthalpy at 0 K: -0.162 eV per atom

Entry 5:
Compound: Tb3Tl3Cd2
Source: the Alexandria database
Functional: PBE
Structure: relaxed

Cell and atoms, written as extended XYZ:
```
8
Lattice="8.3236 0.0000 0.0000 -4.1618 7.2084 0.0000 0.0000 0.0000 3.6355" Properties=species:S:1:pos:R:3 pbc="T T T"
Tb -1.5453 2.6765 0.0000
Tb 3.0905 0.0000 0.0000
Tb 2.6165 4.5319 0.0000
Tl -3.1041 5.3765 1.8178
Tl 1.0577 1.8319 1.8178
Tl 6.2082 0.0000 1.8178
Cd 0.0000 4.8056 1.8178
Cd 4.1618 2.4028 1.8178
```

Properties
SG: P-62m (189)
Relative energy among the computed polymorphs: 0 meV per atom
Formation enthalpy at 0 K: -0.255 eV per atom

Entry 6:
Compound: Tb4Tl2Cd5
Source: the Alexandria database
Functional: PBE
Structure: relaxed

Cell and atoms, written as extended XYZ:
```
11
Lattice="7.9956 0.0000 0.0000 0.0000 3.5473 0.0000 -1.0484 0.0000 10.2447" Properties=species:S:1:pos:R:3 pbc="T T T"
Tb 0.9498 0.0000 4.0134
Tb 1.2373 0.0000 9.6208
Tb 5.7099 0.0000 0.6238
Tb 5.9974 0.0000 6.2312
Tl 0.3954 1.7736 1.4416
Tl 6.5519 1.7736 8.8030
Cd 0.8354 1.7736 6.7446
Cd 3.3771 1.7736 2.1043
Cd 3.4736 1.7736 5.1223
Cd 3.5701 1.7736 8.1404
Cd 6.1119 1.7736 3.5000
```

Properties
SG: P2/m (10)
Formation enthalpy at 0 K: -0.233 eV per atom

Entry 7:
Compound: Tb5Tl2Cd2
Source: the Alexandria database
Functional: PBE
Structure: relaxed

Cell and atoms, written as extended XYZ:
```
18
Lattice="8.1731 -4.0575 0.0000 8.1731 4.0575 0.0000 0.0000 0.0000 7.9037" Properties=species:S:1:pos:R:3 pbc="T T T"
Tb 0.0000 0.0000 0.0000
Tb 5.9140 2.5551 5.3127
Tb 5.9140 1.5024 1.3609
Tb 10.4322 2.5551 5.3127
Tb 10.4322 1.5024 1.3609
Tb 8.1731 0.0000 3.9518
Tb 5.9140 -1.5024 6.5428
Tb 5.9140 -2.5551 2.5910
Tb 10.4322 -1.5024 6.5428
Tb 10.4322 -2.5551 2.5910
Tl 8.1731 3.0031 2.9399
Tl 8.1731 1.0544 6.8917
Tl 8.1731 -1.0544 1.0120
Tl 8.1731 -3.0031 4.9638
Cd 3.4702 0.0000 0.0000
Cd 4.7029 0.0000 3.9518
Cd 11.6433 0.0000 3.9518
Cd 12.8760 0.0000 0.0000
```

Properties
SG: Cmce (64)
Formation enthalpy at 0 K: -0.244 eV per atom

Entry 8:
Compound: Tb3Tl3Cd
Source: the Alexandria database
Functional: PBE
Structure: relaxed

Cell and atoms, written as extended XYZ:
```
14
Lattice="9.0835 0.0000 0.0000 -4.5417 7.8665 0.0000 0.0000 0.0000 5.4412" Properties=species:S:1:pos:R:3 pbc="T T T"
Tb -1.1501 3.5595 1.3603
Tb -0.8841 7.0828 1.3603
Tb 2.5076 2.7757 4.0809
Tb 2.0342 5.0908 1.3603
Tb 5.4259 0.7838 4.0809
Tb 5.6918 4.3071 4.0809
Tl -0.6487 1.9558 4.0809
Tl -2.5236 7.4504 4.0809
Tl 1.3694 1.5397 1.3603
Tl 3.1723 6.3268 4.0809
Tl 7.0654 0.4161 1.3603
Tl 5.1905 5.9107 1.3603
Cd 0.0000 5.2444 4.0809
Cd 4.5417 2.6222 1.3603
```

Properties
SG: P6_3/m (176)
Relative energy among the computed polymorphs: 85 meV per atom
Formation enthalpy at 0 K: -0.199 eV per atom

no.,magnetic moment (μB/cell)
1,0.88
2,0.00
3,0.00
4,0.00
5,0.00
6,0.00
7,0.00
8,0.00